LaAsO2: optimized geometry, GGA-PBEsol.

Output
Space-group type = I-42d (122)
Raw formation energy = -1.552 eV/atom

Cell: 4.550 4.550 7.451 Å, 107.78 107.78 90.00°
Fractional positions:
As 0.750 0.250 0.500
As 0.500 0.500 0.000
O 0.858 0.375 0.250
O 0.392 0.875 0.250
O 0.625 0.608 0.750
O 0.125 0.142 0.750
La 0.250 0.750 0.500
La 0.000 0.000 0.000